Run P
The following is a PBE calculation of Ac4Pm5 after structural relaxation, from the Alexandria database.

Lattice parameters (Å, degrees): 3.8348 10.0083 10.0083 69.84 78.96 78.96
Last column: nearest neighbours and their distance in Å.
Sites, in units of the cell vectors:
Ac 0.3373 0.9978 0.3276  7 Pm 3.76-3.88, 5 Ac 3.83-3.86
Ac 0.6627 0.6724 0.0022  7 Pm 3.76-3.88, 5 Ac 3.83-3.86
Ac 0.6627 0.3355 0.3391  7 Pm 3.76-3.88, 5 Ac 3.83-3.86
Ac 0.3373 0.6609 0.6645  7 Pm 3.76-3.88, 5 Ac 3.83-3.86
Pm 0.0000 0.3241 0.6759  8 Pm 3.61-3.93, 4 Ac 3.79
Pm 0.3363 0.3304 0.9971  6 Pm 3.71-3.83, 6 Ac 3.80-3.88
Pm 0.0000 0.0093 0.9907  8 Pm 3.61-3.93, 4 Ac 3.79
Pm 0.6637 0.0029 0.6696  6 Pm 3.71-3.83, 6 Ac 3.80-3.88
Pm 0.0000 0.6667 0.3333  8 Ac 3.76, 4 Pm 3.83-3.93

Density   7.73 g/cm³


Run Q
The following is a PBE calculation of Ac4Pm5 after structural relaxation, from the Alexandria database.

Lattice parameters (Å, degrees): 7.3699 10.4616 10.4616 120.00 90.00 90.00
Last column: nearest neighbours and their distance in Å.
Sites, in units of the cell vectors:
Pm 0.7500 0.0000 0.3271  5 Ac 3.43-3.69
Pm 0.7500 0.3271 0.0000  5 Ac 3.43-3.69
Pm 0.0000 0.6667 0.3333  8 Pm 3.68-3.97, 6 Ac 3.89
Pm 0.7500 0.6729 0.6729  5 Ac 3.43-3.69
Pm 0.2500 0.0000 0.6729  5 Ac 3.43-3.69
Pm 0.5000 0.6667 0.3333  8 Pm 3.68-3.97, 6 Ac 3.89
Pm 0.0000 0.3333 0.6667  8 Pm 3.68-3.97, 6 Ac 3.89
Pm 0.5000 0.3333 0.6667  8 Pm 3.68-3.97, 6 Ac 3.89
Pm 0.2500 0.6729 0.0000  5 Ac 3.43-3.69
Pm 0.2500 0.3271 0.3271  5 Ac 3.43-3.69
Ac 0.7500 0.0000 0.6546  5 Pm 3.43-3.69
Ac 0.5000 0.0000 0.0000  8 Ac 3.68-4.06, 6 Pm 3.89
Ac 0.0000 0.0000 0.0000  8 Ac 3.68-4.06, 6 Pm 3.89
Ac 0.2500 0.0000 0.3454  5 Pm 3.43-3.69
Ac 0.7500 0.3454 0.3454  5 Pm 3.43-3.69
Ac 0.2500 0.3454 0.0000  5 Pm 3.43-3.69
Ac 0.7500 0.6546 0.0000  5 Pm 3.43-3.69
Ac 0.2500 0.6546 0.6546  5 Pm 3.43-3.69

Density   7.76 g/cm³


The structure with the least stability is run Q.


Run P
The following is a PBE calculation of Ac3Pm5 after structural relaxation, from the Alexandria database.

Lattice parameters (Å, degrees): 3.8147 3.8147 20.9783 90.00 90.00 90.00
Last column: nearest neighbours and their distance in Å.
Sites, in units of the cell vectors:
Pm 0.0000 0.0000 0.7449  8 Pm 3.65-3.81, 4 Ac 3.81
Pm 0.0000 0.0000 0.2551  8 Pm 3.65-3.81, 4 Ac 3.81
Pm 0.5000 0.5000 0.6279  8 Pm 3.65-3.81, 4 Ac 3.80
Pm 0.0000 0.0000 0.0000  8 Ac 3.79, 4 Pm 3.81
Pm 0.5000 0.5000 0.3721  8 Pm 3.65-3.81, 4 Ac 3.80
Ac 0.5000 0.5000 0.8728  8 Pm 3.79-3.81, 4 Ac 3.81
Ac 0.5000 0.5000 0.1272  8 Pm 3.79-3.81, 4 Ac 3.81
Ac 0.0000 0.0000 0.5000  8 Pm 3.80, 4 Ac 3.81

Density   7.65 g/cm³


Run Q
The following is a PBE calculation of Ac3Pm5 after structural relaxation, from the Alexandria database.

Lattice parameters (Å, degrees): 3.7110 3.7110 23.9507 90.00 90.00 111.02
Last column: nearest neighbours and their distance in Å.
Sites, in units of the cell vectors:
Pm 0.0000 0.0000 0.3843  8 Pm 3.46-3.71
Pm 0.5000 0.5000 0.7303  6 Pm 3.46-3.71, 2 Ac 3.73
Pm 0.5000 0.5000 0.5000  8 Pm 3.48-3.71
Pm 0.5000 0.5000 0.2697  6 Pm 3.46-3.71, 2 Ac 3.73
Pm 0.0000 0.0000 0.6157  8 Pm 3.46-3.71
Ac 0.0000 0.0000 0.1413  6 Ac 3.71-3.98, 2 Pm 3.73
Ac 0.0000 0.0000 0.8587  6 Ac 3.71-3.98, 2 Pm 3.73
Ac 0.5000 0.5000 0.0000  8 Ac 3.71-3.98

Density   7.58 g/cm³


The structure with the least stability is run Q.


Run P
The following is a PBE calculation of AcPm4 after structural relaxation, from the Alexandria database.

Lattice parameters (Å, degrees): 6.9110 6.4728 9.6887 90.00 90.00 58.83
Last column: nearest neighbours and their distance in Å.
Sites, in units of the cell vectors:
Pm 0.1608 0.9086 0.3119  5 Pm 3.54-3.78, 3 Ac 3.62-3.96
Pm 0.2440 0.7407 0.9474  9 Pm 3.31-3.65, 1 Ac 3.62
Pm 0.8392 0.5914 0.3119  5 Pm 3.54-3.78, 3 Ac 3.62-3.96
Pm 0.1608 0.4086 0.6881  5 Pm 3.54-3.78, 3 Ac 3.62-3.96
Pm 0.2440 0.2407 0.0526  9 Pm 3.31-3.65, 1 Ac 3.62
Pm 0.8392 0.0914 0.6881  5 Pm 3.54-3.78, 3 Ac 3.62-3.96
Pm 0.7560 0.7593 0.9474  9 Pm 3.31-3.65, 1 Ac 3.62
Pm 0.7560 0.2593 0.0526  9 Pm 3.31-3.65, 1 Ac 3.62
Ac 0.5000 0.2500 0.3771  10 Pm 3.62-4.02, 2 Ac 4.02
Ac 0.5000 0.7500 0.6229  10 Pm 3.62-4.02, 2 Ac 4.02

Density   7.23 g/cm³


Run Q
The following is a PBE calculation of AcPm4 after structural relaxation, from the Alexandria database.

Lattice parameters (Å, degrees): 5.6516 9.6810 7.2979 89.84 90.00 90.00
Last column: nearest neighbours and their distance in Å.
Sites, in units of the cell vectors:
Pm 0.7495 0.7034 0.2492  8 Pm 3.46-3.65, 2 Ac 3.68-3.69
Pm 0.7490 0.3824 0.5011  10 Pm 3.46-3.65
Pm 0.2490 0.6176 0.9989  10 Pm 3.46-3.65
Pm 0.2510 0.6176 0.4989  10 Pm 3.46-3.65
Pm 0.7505 0.7034 0.7492  8 Pm 3.46-3.65, 2 Ac 3.68-3.69
Pm 0.7510 0.3824 0.0011  10 Pm 3.46-3.65
Pm 0.2505 0.2966 0.7508  8 Pm 3.46-3.65, 2 Ac 3.68-3.69
Pm 0.2495 0.2966 0.2508  8 Pm 3.46-3.65, 2 Ac 3.68-3.69
Ac 0.0000 0.0000 0.0000  6 Pm 3.68-3.96
Ac 0.5000 0.0000 0.5000  6 Pm 3.68-3.96

Density   6.71 g/cm³


The structure with the least stability is run Q.


Run P
The following is a PBE calculation of Ac2Pm after structural relaxation, from the Alexandria database.

Lattice parameters (Å, degrees): 3.9041 6.7163 6.7194 60.03 73.29 54.51
Last column: nearest neighbours and their distance in Å.
Sites, in units of the cell vectors:
Pm 0.2812 0.0255 0.5530  10 Ac 3.86-3.91, 2 Pm 3.90
Ac 0.2828 0.6894 0.2249  7 Ac 3.82-3.91, 5 Pm 3.86-3.91
Ac 0.2806 0.3615 0.8810  7 Ac 3.82-3.91, 5 Pm 3.86-3.91

Density   8.00 g/cm³


Run Q
The following is a PBE calculation of Ac2Pm after structural relaxation, from the Alexandria database.

Lattice parameters (Å, degrees): 7.1719 7.1719 7.1719 60.00 60.00 60.00
Last column: nearest neighbours and their distance in Å.
Sites, in units of the cell vectors:
Ac 0.6250 0.1250 0.6250  6 Ac 3.59
Ac 0.6250 0.6250 0.6250  6 Ac 3.59
Ac 0.1250 0.6250 0.6250  6 Ac 3.59
Ac 0.6250 0.6250 0.1250  6 Ac 3.59
Pm 0.2500 0.2500 0.2500  12 Ac 4.20, 4 Pm 4.39
Pm 0.0000 0.0000 0.0000  12 Ac 4.20, 4 Pm 4.39

Density   7.63 g/cm³


Run R
The following is a PBE calculation of Ac2Pm after structural relaxation, from the Alexandria database.

Lattice parameters (Å, degrees): 4.5122 4.5122 6.8806 109.18 109.18 89.85
Last column: nearest neighbours and their distance in Å.
Sites, in units of the cell vectors:
Ac 0.8430 0.8430 0.6862  4 Pm 3.72, 5 Ac 3.82-3.92
Ac 0.1570 0.1570 0.3138  4 Pm 3.72, 5 Ac 3.82-3.92
Pm 0.5000 0.5000 0.0000  8 Ac 3.72

Density   8.02 g/cm³


The structure with the least stability is run Q.